[1]
A plane-wave DFT calculation with PBE-GGA was carried out for DyScTl after structural relaxation.

Volume ... 90.4 Å³/cell
Energy above the most stable polymorph in this dataset ... 0.4856 eV per atom
Total DFT energy (no corrections) ... -11.87 eV for the cell shown

Cell lengths 5.037, 5.037, 5.037 Å; angles 60.00, 60.00, 60.00 degrees
Element x y z (fractional)
Dy (0.000, 0.000, 0.000)
Sc (0.750, 0.750, 0.750)
Tl (0.250, 0.250, 0.250)


[2]
A plane-wave DFT calculation with PBE-GGA was carried out for InCo3Bi5 after structural relaxation.

Volume ... 215.4 Å³/cell
Total DFT energy (no corrections) ... -42.74 eV for the cell shown

Cell lengths 5.510, 5.510, 8.193 Å; angles 90.00, 90.00, 120.00 degrees
Element x y z (fractional)
In (0.000, 0.000, 0.000)
Co (0.000, 0.500, 0.500)
Co (0.500, 0.000, 0.500)
Co (0.500, 0.500, 0.500)
Bi (0.000, 0.000, 0.500)
Bi (0.333, 0.667, 0.231)
Bi (0.333, 0.667, 0.769)
Bi (0.667, 0.333, 0.231)
Bi (0.667, 0.333, 0.769)


[3]
A plane-wave DFT calculation with PBE-GGA was carried out for NbGaCuRe after structural relaxation.

Volume ... 60.5 Å³/cell
Energy above the most stable polymorph in this dataset ... 0.0000 eV per atom
Total DFT energy (no corrections) ... -28.98 eV for the cell shown

Cell lengths 4.407, 4.407, 4.407 Å; angles 60.00, 60.00, 60.00 degrees
Element x y z (fractional)
Nb (0.000, 0.000, 0.000)
Ga (0.500, 0.500, 0.500)
Cu (0.750, 0.750, 0.750)
Re (0.250, 0.250, 0.250)


[4]
A plane-wave DFT calculation with PBE-GGA was carried out for Lu8Sb2C3N3 after structural relaxation.

Volume ... 269.9 Å³/cell
Total DFT energy (no corrections) ... -113.13 eV for the cell shown

Cell lengths 3.453, 3.453, 26.142 Å; angles 90.00, 90.00, 120.00 degrees
Element x y z (fractional)
Lu (0.000, 0.000, 0.151)
Lu (0.000, 0.000, 0.341)
Lu (0.000, 0.000, 0.659)
Lu (0.000, 0.000, 0.849)
Lu (0.333, 0.667, 0.556)
Lu (0.333, 0.667, 0.950)
Lu (0.667, 0.333, 0.050)
Lu (0.667, 0.333, 0.444)
Sb (0.333, 0.667, 0.757)
Sb (0.667, 0.333, 0.243)
C (0.000, 0.000, 0.500)
C (0.333, 0.667, 0.385)
C (0.667, 0.333, 0.615)
N (0.000, 0.000, 0.000)
N (0.333, 0.667, 0.106)
N (0.667, 0.333, 0.894)


[5]
A plane-wave DFT calculation with PBE-GGA was carried out for NaTmCdSe3 after structural relaxation.

Volume ... 635.6 Å³/cell
Energy above the most stable polymorph in this dataset ... 0.0322 eV per atom
Total DFT energy (no corrections) ... -97.74 eV for the cell shown

Cell lengths 12.645, 4.109, 12.232 Å; angles 90.00, 90.00, 90.00 degrees
Element x y z (fractional)
Na (0.127, 0.250, 0.004)
Na (0.373, 0.750, 0.504)
Na (0.627, 0.250, 0.496)
Na (0.873, 0.750, 0.996)
Tm (0.050, 0.250, 0.666)
Tm (0.450, 0.750, 0.166)
Tm (0.550, 0.250, 0.834)
Tm (0.950, 0.750, 0.334)
Cd (0.233, 0.250, 0.284)
Cd (0.267, 0.750, 0.784)
Cd (0.733, 0.250, 0.216)
Cd (0.767, 0.750, 0.716)
Se (0.061, 0.750, 0.836)
Se (0.078, 0.250, 0.423)
Se (0.231, 0.750, 0.143)
Se (0.269, 0.250, 0.643)
Se (0.422, 0.750, 0.923)
Se (0.439, 0.250, 0.336)
Se (0.561, 0.750, 0.664)
Se (0.578, 0.250, 0.077)
Se (0.731, 0.750, 0.357)
Se (0.769, 0.250, 0.857)
Se (0.922, 0.750, 0.577)
Se (0.939, 0.250, 0.164)


[6]
A plane-wave DFT calculation with PBE-GGA was carried out for TmCuSnS3 after structural relaxation.

Volume ... 254.6 Å³/cell
Total DFT energy (no corrections) ... -61.01 eV for the cell shown

Cell lengths 8.840, 8.840, 7.874 Å; angles 103.08, 103.08, 25.17 degrees
Element x y z (fractional)
Tm (0.162, 0.162, 0.081)
Tm (0.838, 0.838, 0.919)
Cu (0.464, 0.464, 0.793)
Cu (0.536, 0.536, 0.207)
Sn (0.126, 0.126, 0.566)
Sn (0.874, 0.874, 0.434)
S (0.000, 0.000, 0.000)
S (0.324, 0.324, 0.149)
S (0.327, 0.327, 0.680)
S (0.500, 0.500, 0.500)
S (0.673, 0.673, 0.320)
S (0.676, 0.676, 0.851)